Entry from Alexandria: a geometry-optimized KPSe3 structure (GGA-PBE).

## Properties
Total energy, Ry/atom: -0.2785
M_tot, μB/cell: 0.00

Cell and atoms, written as POSCAR:
```
KPSe3
1.0
7.7628 -0.2041 0.0000
-3.8513 5.9780 0.0000
0.0000 0.0000 6.5283
K P Se
2 2 6
Direct
0.2376 0.2496 0.7500 K
0.7624 0.7504 0.2500 K
0.5507 0.9426 0.7500 P
0.4493 0.0574 0.2500 P
0.7449 0.2522 0.4599 Se
0.2840 0.2268 0.2500 Se
0.2551 0.7478 0.9599 Se
0.7160 0.7732 0.7500 Se
0.7449 0.2522 0.0401 Se
0.2551 0.7478 0.5401 Se
```